Here is a relaxed LiZn4Pt crystal from the Alexandria database. Energies are from PBEsol.

Cell lengths 4.895, 4.895, 4.895 Å; angles 60.00, 60.00, 60.00 degrees
Sites, in units of the cell vectors:
Li (0.000, 0.000, 0.000)
Zn (0.125, 0.625, 0.625)
Zn (0.625, 0.125, 0.625)
Zn (0.625, 0.625, 0.125)
Zn (0.625, 0.625, 0.625)
Pt (0.250, 0.250, 0.250)

---

Here is a relaxed LiCu2Pt crystal from the Alexandria database. Energies are from PBEsol.

Cell lengths 4.195, 4.195, 2.862 Å; angles 90.00, 90.00, 90.00 degrees
Sites, in units of the cell vectors:
Li (0.000, 0.000, 0.000)
Cu (0.000, 0.500, 0.500)
Cu (0.500, 0.000, 0.500)
Pt (0.500, 0.500, 0.000)

Summary:
* energy above the lowest structure with this stoichiometry: 8 meV/atom

---

Here is a relaxed LaAgGeW2 crystal from the Alexandria database. Energies are from PBEsol.

Cell lengths 4.645, 4.645, 5.453 Å; angles 90.00, 90.00, 90.00 degrees
Sites, in units of the cell vectors:
La (0.000, 0.000, 0.000)
Ag (0.500, 0.500, 0.000)
Ge (0.000, 0.000, 0.500)
W (0.000, 0.500, 0.500)
W (0.500, 0.000, 0.500)

---

no.,M_tot (μB per cell),formation enthalpy at 0 K (kJ/mol of atoms)
1,0.000,-29.6
2,0.000,-22.8
3,0.000,127.3